Compound: K2OsRu
Source: the Alexandria database
Functional: PBEsol
Structure: relaxed

Properties
Energy of formation from the pure elements in eV per formula unit: 4.75
Total magnetic moment in μB per formula unit: 0.00
Offset from the most stable computed form in meV per atom: 437
D(E_F) in states/eV/atom: 0.676
Symmetry: Imm2 (44)

a b c (Å): 5.833 5.833 5.833
angles (deg): 139.83 121.57 73.28
Fractional coordinates of all 4 atoms:
K (0.000, 0.000, 0.000)
K (0.699, 0.199, 0.500)
Os (0.291, 0.791, 0.500)
Ru (0.407, 0.407, 0.000)